[1]
Material: Hf2MgZrOs
Method: DFT, PBE
State: relaxed

Properties
volume	25.406	A^3/atom
space-group type	No. 123
E_tot	-34.7	eV per cell
M_tot	0.0	μB/cell
E_form	1.314	eV per atom

a = 5.1260 Å, b = 5.1260 Å, c = 4.8344 Å
α = 90.00°, β = 90.00°, γ = 90.00°
Fractional coordinates of all 5 atoms:
Hf 0.0000 0.5000 0.0000
Hf 0.5000 0.0000 0.0000
Mg 0.0000 0.0000 0.5000
Zr 0.5000 0.5000 0.0000
Os 0.5000 0.5000 0.5000

***

[2]
Material: ZnCuAu
Method: DFT, PBE
State: relaxed

Properties
volume	15.207	A^3/atom
space-group type	No. 156
E_tot	-8.7	eV per cell
M_tot	0.0	μB/cell
excess energy over the best structure of this formula in the dataset	0.108	eV per atom
E_form	-0.025	eV per atom

a = 2.8493 Å, b = 2.8493 Å, c = 6.4886 Å
α = 90.00°, β = 90.00°, γ = 120.00°
Fractional coordinates of all 3 atoms:
Zn 0.0000 0.0000 0.0000
Cu 0.3333 0.6667 0.6962
Au 0.6667 0.3333 0.3537

***

[3]
Material: Sb2IrPt
Method: DFT, PBE
State: relaxed

Properties
volume	19.294	A^3/atom
uncorrected formation energy	0.10	eV per atom
space-group type	No. 10
E_tot	-22.8	eV per cell
M_tot	0.0	μB/cell
excess energy over the best structure of this formula in the dataset	0.226	eV per atom

a = 3.3340 Å, b = 3.3873 Å, c = 6.8339 Å
α = 90.00°, β = 90.08°, γ = 90.00°
Fractional coordinates of all 4 atoms:
Sb 0.0008 0.0000 0.2575
Sb 0.9992 0.0000 0.7425
Ir 0.5000 0.5000 0.5000
Pt 0.5000 0.5000 0.0000